Density functional theory data (GGA-PBE) for TbPrHoLu after structural relaxation.

```
4
Lattice="5.680 0.000 0.000 2.840 4.919 0.000 2.840 1.640 4.638" Properties=species:S:1:pos:R:3 pbc="T T T"
Ho 8.520 4.919 3.478
Tb 0.000 0.000 0.000
Lu 2.840 1.640 1.159
Pr 5.680 3.279 2.319
```

Calculated values
- ΔH_f (0 K): 0.11 eV/atom
- Total DFT energy (no corrections): -4.52 eV per atom
- Magnetization: 0.00 μB per formula unit